1.
YTa2AuC | GGA-PBE | optimized geometry

The structure in POSCAR format:
```
YTa2AuC
1.0
-3.439 3.159 1.607
-3.300 -1.524 -4.065
-1.906 -3.536 2.873
C Ta Y Au
1 2 1 1
Direct
0.500 0.500 0.500
0.000 0.000 0.500
0.500 0.000 0.000
0.000 0.500 0.000
0.000 0.000 0.000
```

Properties
total DFT energy (no corrections) = -31.04 eV per cell
formation energy = 2.327 eV per atom
space group = P4/mmm, No. 123


2.
Li9ZnCd2 | GGA-PBE | optimized geometry

The structure in POSCAR format:
```
Li9ZnCd2
1.0
5.689 -0.054 0.857
2.643 5.039 0.857
0.334 0.199 7.755
Li Zn Cd
9 1 2
Direct
0.384 0.384 0.183
0.288 0.884 0.278
0.745 0.745 0.082
0.884 0.288 0.278
0.116 0.712 0.722
0.712 0.116 0.722
0.500 0.500 0.500
0.255 0.255 0.918
0.616 0.616 0.817
0.000 0.000 0.000
0.195 0.195 0.574
0.805 0.805 0.426
```

Properties
total DFT energy (no corrections) = -20.44 eV per cell
formation energy = -0.009 eV per atom
space group = C2/m, No. 12


3.
Zn3Co2 | GGA-PBE | optimized geometry

The structure in POSCAR format:
```
Zn3Co2
1.0
2.044 -3.540 0.000
2.044 3.540 0.000
0.000 0.000 4.888
Co Zn
2 3
Direct
0.333 0.667 0.886
0.667 0.333 0.114
0.667 0.333 0.622
0.000 0.000 0.000
0.333 0.667 0.378
```

Properties
distance to the lowest polymorph of the same formula = 0.060 eV/atom
total DFT energy (no corrections) = -17.51 eV per cell
formation energy = 0.104 eV per atom
space group = P-3m1, No. 164


4.
SrRe3Br | GGA-PBE | optimized geometry

The structure in POSCAR format:
```
SrRe3Br
1.0
-2.853 2.255 4.837
-5.335 -1.373 -2.507
0.164 -5.446 2.636
Re Sr Br
3 1 1
Direct
0.500 0.000 0.000
0.000 0.000 0.500
0.000 0.500 0.000
0.000 0.000 0.000
0.500 0.500 0.500
```

Properties
distance to the lowest polymorph of the same formula = 1.808 eV/atom
total DFT energy (no corrections) = -21.63 eV per cell
formation energy from raw total energies = 19.1 eV per formula unit
space group = Pm-3m, No. 221


5.
Pr2NdGa | GGA-PBE | optimized geometry

The structure in POSCAR format:
```
Pr2NdGa
1.0
-0.447 -0.311 -4.259
-3.450 -4.669 2.865
-7.565 5.817 0.371
Pr Ga Nd
4 2 2
Direct
0.642 0.284 0.053
0.642 0.284 0.447
0.358 0.716 0.553
0.358 0.716 0.947
0.254 0.507 0.250
0.746 0.493 0.750
0.938 0.876 0.250
0.062 0.124 0.750
```

Properties
distance to the lowest polymorph of the same formula = 0.016 eV/atom
total DFT energy (no corrections) = -36.63 eV per cell
formation energy = -0.241 eV per atom
space group = Cmcm, No. 63


6.
CsScAs3 | GGA-PBE | optimized geometry

The structure in POSCAR format:
```
CsScAs3
1.0
5.537 0.000 0.000
0.000 5.537 0.000
0.000 0.000 5.537
As Sc Cs
3 1 1
Direct
0.000 0.000 0.500
0.500 0.000 0.000
0.000 0.500 0.000
0.500 0.500 0.500
0.000 0.000 0.000
```

Properties
distance to the lowest polymorph of the same formula = 1.672 eV/atom
total DFT energy (no corrections) = -13.92 eV per cell
formation energy = 1.444 eV per atom
space group = Pm-3m, No. 221


7.
LiTaOs2 | GGA-PBE | optimized geometry

The structure in POSCAR format:
```
LiTaOs2
1.0
6.975 0.000 0.000
0.000 6.975 0.000
3.487 3.487 2.629
Os Ta Li
4 2 2
Direct
0.375 0.374 0.750
0.875 0.876 0.750
0.124 0.625 0.250
0.626 0.125 0.250
0.000 0.000 0.000
0.750 0.250 0.500
0.500 0.500 0.000
0.250 0.750 0.500
```

Properties
total DFT energy (no corrections) = -66.97 eV per cell
formation energy = 0.686 eV per atom
space group = I-42d, No. 122


8.
ErHgSb2 | GGA-PBE | optimized geometry

The structure in POSCAR format:
```
ErHgSb2
1.0
-2.641 1.813 -3.183
-4.349 0.835 0.881
-0.728 6.970 1.371
Sb Er Hg
2 1 1
Direct
0.751 0.751 0.746
0.249 0.249 0.254
0.500 0.500 0.500
0.000 0.000 0.000
```

Properties
distance to the lowest polymorph of the same formula = 0.188 eV/atom
total DFT energy (no corrections) = -13.95 eV per cell
formation energy from raw total energies = -0.8 eV per formula unit
space group = R-3m, No. 166


9.
RbInSe2Br | GGA-PBE | optimized geometry

The structure in POSCAR format:
```
RbInSe2Br
1.0
-0.989 0.033 -5.225
-5.225 -0.094 0.988
-0.095 5.887 0.056
Br In Rb Se
1 1 1 2
Direct
0.000 0.000 0.500
0.000 0.000 0.000
0.500 0.500 0.500
0.500 0.000 0.000
0.000 0.500 0.000
```

Properties
distance to the lowest polymorph of the same formula = 0.000 eV/atom
total DFT energy (no corrections) = -15.41 eV per cell
formation energy from raw total energies = -3.1 eV per formula unit
space group = P4/mmm, No. 123


10.
YHfSi2C | GGA-PBE | optimized geometry

The structure in POSCAR format:
```
YHfSi2C
1.0
5.088 0.000 0.000
0.000 4.239 0.000
0.000 0.000 5.088
Hf Si C Y
1 2 1 1
Direct
0.500 0.500 0.500
0.000 0.000 0.500
0.500 0.000 0.000
0.000 0.500 0.000
0.000 0.000 0.000
```

Properties
total DFT energy (no corrections) = -28.83 eV per cell
formation energy from raw total energies = 7.7 eV per formula unit
space group = P4/mmm, No. 123


11.
Cd3AsH2Pd6 | GGA-PBE | optimized geometry

The structure in POSCAR format:
```
Cd3AsH2Pd6
1.0
-1.746 0.684 -5.349
-3.716 -1.434 4.033
-1.393 7.638 1.431
Cd Pd As H
3 6 1 2
Direct
0.000 0.000 0.000
0.333 0.667 0.633
0.667 0.333 0.367
0.828 0.172 0.716
0.656 0.828 0.284
0.172 0.828 0.284
0.344 0.172 0.716
0.172 0.344 0.284
0.828 0.656 0.716
0.000 0.000 0.500
0.333 0.667 0.162
0.667 0.333 0.838
```

Properties
total DFT energy (no corrections) = -47.51 eV per cell
space group = P-3m1, No. 164


12.
PaNiRh3 | GGA-PBE | optimized geometry

The structure in POSCAR format:
```
PaNiRh3
1.0
-2.350 2.425 2.176
-4.945 -4.084 -0.789
1.685 -3.049 5.217
Rh Pa Ni
6 2 2
Direct
0.000 0.000 0.953
0.500 0.500 0.047
0.000 0.706 0.276
0.500 0.794 0.724
0.500 0.206 0.724
0.000 0.294 0.276
0.500 0.000 0.244
0.000 0.500 0.756
0.500 0.500 0.447
0.000 0.000 0.553
```

Properties
distance to the lowest polymorph of the same formula = 0.000 eV/atom
total DFT energy (no corrections) = -79.22 eV per cell
formation energy = -0.455 eV per atom
space group = Pmmn, No. 59


Let's list N(E_F) in order: 4.85; 3.31; 6.82; 3.13; 12.74; 5.30; 8.31; 2.92; 5.08; 3.48; 3.06; 13.60 states/eV/cell.